Computed, not measured: a geometry-optimized Sr3Ge5S12 structure at the GGA-PBE level of DFT.

Lattice parameters (Å, degrees): 13.510 13.510 13.510 109.47 109.47 109.47
Sites, in units of the cell vectors:
1 Sr 0.125 0.250 0.375
2 Sr 0.125 0.375 0.750
3 Sr 0.250 0.375 0.125
4 Sr 0.250 0.875 0.625
5 Sr 0.375 0.125 0.250
6 Sr 0.375 0.750 0.125
7 Sr 0.625 0.250 0.875
8 Sr 0.625 0.875 0.750
9 Sr 0.750 0.125 0.375
10 Sr 0.750 0.625 0.875
11 Sr 0.875 0.625 0.250
12 Sr 0.875 0.750 0.625
13 Ge 0.000 0.000 0.000
14 Ge 0.000 0.000 0.500
15 Ge 0.000 0.500 0.000
16 Ge 0.000 0.500 0.500
17 Ge 0.125 0.750 0.875
18 Ge 0.125 0.875 0.250
19 Ge 0.250 0.125 0.875
20 Ge 0.250 0.625 0.375
21 Ge 0.375 0.250 0.625
22 Ge 0.375 0.625 0.750
23 Ge 0.500 0.000 0.000
24 Ge 0.500 0.000 0.500
25 Ge 0.500 0.500 0.000
26 Ge 0.500 0.500 0.500
27 Ge 0.625 0.375 0.250
28 Ge 0.625 0.750 0.375
29 Ge 0.750 0.375 0.625
30 Ge 0.750 0.875 0.125
31 Ge 0.875 0.125 0.750
32 Ge 0.875 0.250 0.125
33 S 0.023 0.208 0.119
34 S 0.023 0.315 0.904
35 S 0.089 0.708 0.685
36 S 0.089 0.881 0.404
37 S 0.096 0.619 0.411
38 S 0.096 0.977 0.685
39 S 0.119 0.023 0.208
40 S 0.119 0.596 0.911
41 S 0.185 0.208 0.589
42 S 0.185 0.477 0.596
43 S 0.208 0.119 0.023
44 S 0.208 0.589 0.185
45 S 0.292 0.315 0.911
46 S 0.292 0.477 0.381
47 S 0.315 0.904 0.023
48 S 0.315 0.911 0.292
49 S 0.381 0.292 0.477
50 S 0.381 0.589 0.904
51 S 0.404 0.089 0.881
52 S 0.404 0.815 0.523
53 S 0.411 0.096 0.619
54 S 0.411 0.815 0.792
55 S 0.477 0.381 0.292
56 S 0.477 0.596 0.185
57 S 0.523 0.404 0.815
58 S 0.523 0.619 0.708
59 S 0.589 0.185 0.208
60 S 0.589 0.904 0.381
61 S 0.596 0.185 0.477
62 S 0.596 0.911 0.119
63 S 0.619 0.411 0.096
64 S 0.619 0.708 0.523
65 S 0.685 0.089 0.708
66 S 0.685 0.096 0.977
67 S 0.708 0.523 0.619
68 S 0.708 0.685 0.089
69 S 0.792 0.411 0.815
70 S 0.792 0.881 0.977
71 S 0.815 0.523 0.404
72 S 0.815 0.792 0.411
73 S 0.881 0.404 0.089
74 S 0.881 0.977 0.792
75 S 0.904 0.023 0.315
76 S 0.904 0.381 0.589
77 S 0.911 0.119 0.596
78 S 0.911 0.292 0.315
79 S 0.977 0.685 0.096
80 S 0.977 0.792 0.881

Calculated values
Uncorrected formation energy ... -0.808 eV per atom
Total magnetization ... 0.000 μB/f.u.
E ... -0.34480 Ry/atom

***

Computed, not measured: a geometry-optimized ZrGaP2O structure at the GGA-PBE level of DFT.

Lattice parameters (Å, degrees): 4.776 4.776 3.677 90.00 90.00 90.00
Sites, in units of the cell vectors:
1 Zr 0.000 0.000 0.000
2 Ga 0.500 0.500 0.500
3 P 0.000 0.500 0.500
4 P 0.500 0.000 0.500
5 O 0.500 0.500 0.000

Calculated values
Uncorrected formation energy ... -0.176 eV per atom
Total magnetization ... 0.000 μB/f.u.
Energy relative to the lowest polymorph listed for this composition ... 231 meV per atom
E ... -0.41498 Ry/atom

***

Computed, not measured: a geometry-optimized BaTlVPb2 structure at the GGA-PBE level of DFT.

Lattice parameters (Å, degrees): 6.308 6.308 5.154 90.00 90.00 90.00
Sites, in units of the cell vectors:
1 Ba 0.000 0.000 0.000
2 Tl 0.500 0.500 0.500
3 V 0.000 0.000 0.500
4 Pb 0.000 0.500 0.000
5 Pb 0.500 0.000 0.000

Calculated values
Total magnetization ... 0.109 μB/f.u.
ΔH_f (0 K) ... 137.10 kJ per mole of atoms
E ... -0.20168 Ry/atom

***

> Look up the E of the third one.

-0.20168 Ry/atom

***

> Which of these has the highest total magnetization?

BaTlVPb2

***

> Which formula does entry 3 have?

BaTlVPb2

***

> Which formula does entry 1 have?

Sr3Ge5S12